No. 1
The following is a PBE-GGA calculation of an optimized crystal structure of Ca3TcP, from Alexandria via LeMat-Bulk.

## Properties
Calculated total energy, Ry per atom: -0.2787
DFT formation energy, eV/atom: 0.564
Energy relative to the lowest polymorph listed for this composition, eV/f.u.: 1.57

Cell: 5.183 5.183 5.183 Å, 90.00 90.00 90.00°
Space group Pm-3m (No. 221)
Inequivalent atoms, fractional coordinates:
1 Ca 0.000 0.000 0.500 x3
2 Tc 0.000 0.000 0.000 x1
3 P 0.500 0.500 0.500 x1

***

No. 2
The following is a PBE-GGA calculation of an optimized crystal structure of Ca2TcP, from Alexandria via LeMat-Bulk.

## Properties
Calculated total energy, Ry per atom: -0.3879
DFT formation energy, eV/atom: -0.333

Cell: 3.253 3.253 8.437 Å, 90.00 90.00 90.00°
Space group P4mm (No. 99)
Inequivalent atoms, fractional coordinates:
1 Ca 0.000 0.000 0.000 x1
2 Ca 0.500 0.500 0.399 x1
3 Tc 0.500 0.500 0.745 x1
4 P 0.000 0.000 0.635 x1

***

No. 3
The following is a PBE-GGA calculation of an optimized crystal structure of Ca3TcP, from Alexandria via LeMat-Bulk.

## Properties
Calculated total energy, Ry per atom: -0.3018
DFT formation energy, eV/atom: 0.250
Energy relative to the lowest polymorph listed for this composition, eV/f.u.: 0.00

Cell: 5.425 5.425 5.425 Å, 90.00 90.00 90.00°
Space group Pm-3m (No. 221)
Inequivalent atoms, fractional coordinates:
1 Ca 0.000 0.000 0.500 x3
2 Tc 0.500 0.500 0.500 x1
3 P 0.000 0.000 0.000 x1

***

No. 4
The following is a PBE-GGA calculation of an optimized crystal structure of Ca4TcP, from Alexandria via LeMat-Bulk.

## Properties
Calculated total energy, Ry per atom: -0.2230
DFT formation energy, eV/atom: 0.930

Cell: 8.687 8.687 8.687 Å, 90.00 90.00 90.00°
Space group F-43m (No. 216)
Inequivalent atoms, fractional coordinates:
1 Ca 0.124 0.124 0.376 x16
2 Tc 0.250 0.250 0.750 x4
3 P 0.000 0.000 0.000 x4

***

No. 5
The following is a PBE-GGA calculation of an optimized crystal structure of Ca2TcP, from Alexandria via LeMat-Bulk.

## Properties
Calculated total energy, Ry per atom: -0.3428
DFT formation energy, eV/atom: 0.280

Cell: 3.3726 3.3726 26.7502 Å, 90.00 90.00 120.00°
Space group R-3m (No. 166, hexagonal axes)
Inequivalent atoms, fractional coordinates:
1 Ca 0.0000 0.0000 0.2450 x6
2 Tc 0.0000 0.0000 0.0000 x3
3 P 0.0000 0.0000 0.5000 x3

***

No. 6
The following is a PBE-GGA calculation of an optimized crystal structure of Ca2TcP, from Alexandria via LeMat-Bulk.

## Properties
Calculated total energy, Ry per atom: -0.3585
DFT formation energy, eV/atom: 0.068

Cell: 3.727 3.727 5.796 Å, 90.00 90.00 90.00°
Space group P4/mmm (No. 123)
Inequivalent atoms, fractional coordinates:
1 Ca 0.000 0.000 0.240 x2
2 Tc 0.500 0.500 0.500 x1
3 P 0.500 0.500 0.000 x1

***

Asked for magnetic moment across the records above, the calculation gives 0.00; 0.00; 3.58; 8.18; 3.66; 0.00 Bohr magnetons per cell in order.